Record 1
Computed, not measured: crystalline AcDyCo at its relaxed geometry at the PBE level of DFT.

Output
space-group type	No. 216
size of the total moment	0.000	μB/cell
formation enthalpy at 0 K	86	meV/atom
DFT total energy	-5.187	eV/atom
mass density	8.87	g/cm³
polymorph energy (0 for the lowest one)	0.1364	eV/atom

```
AcDyCo
1.0
-0.9375 -2.4923 -4.1302
2.1585 -4.3429 -0.7928
-2.6553 -4.1314 0.1723
Ac Co Dy
1 1 1
Direct
0.0000 0.0000 0.0000
0.2500 0.2500 0.2500
0.5000 0.5000 0.5000
```

---

Record 2
Computed, not measured: crystalline Ac3DyCo2 at its relaxed geometry at the PBE level of DFT.

Output
space-group type	No. 12
size of the total moment	0.000	μB/cell
formation enthalpy at 0 K	-33	meV/atom
DFT total energy	-5.223	eV/atom
mass density	8.28	g/cm³

```
Ac3DyCo2
1.0
-1.3416 -3.0279 2.5507
-0.9237 -7.0725 -5.4560
9.3001 -4.9353 2.4584
Co Dy Ac
4 2 6
Direct
0.1228 0.6236 0.1309
0.8772 0.3764 0.8691
0.6244 0.1262 0.6250
0.3756 0.8738 0.3750
0.4415 0.4146 0.7023
0.5585 0.5854 0.2977
0.9375 0.9304 0.1946
0.1780 0.1967 0.4473
0.6908 0.6771 0.9413
0.8220 0.8033 0.5527
0.0625 0.0696 0.8054
0.3092 0.3229 0.0587
```

---

Record 3
Computed, not measured: crystalline AcDyCo at its relaxed geometry at the PBE level of DFT.

Output
space-group type	No. 107
size of the total moment	0.743	μB/cell
formation enthalpy at 0 K	53	meV/atom
DFT total energy	-5.219	eV/atom
mass density	8.99	g/cm³
polymorph energy (0 for the lowest one)	0.1041	eV/atom

```
AcDyCo
1.0
-0.3858 -3.4692 0.6020
2.9652 -0.6467 -1.8265
2.2501 2.6265 6.1573
Dy Ac Co
1 1 1
Direct
0.2883 0.2883 0.5767
0.0339 0.0339 0.0678
0.6778 0.6778 0.3556
```

---

Record 4
Computed, not measured: crystalline Ac2DyCo at its relaxed geometry at the PBE level of DFT.

Output
space-group type	No. 166
size of the total moment	0.001	μB/cell
formation enthalpy at 0 K	117	meV/atom
DFT total energy	-4.864	eV/atom
mass density	8.53	g/cm³

```
Ac2DyCo
1.0
-3.0880 -0.4751 -2.4483
-3.6070 -0.7501 1.4773
-4.0250 9.0540 0.1021
Dy Ac Co
1 2 1
Direct
0.5000 0.5000 0.5000
0.2745 0.2745 0.1765
0.7255 0.7255 0.8235
0.0000 0.0000 0.0000
```

---

Record 5
Computed, not measured: crystalline Ac2DyGa12Co3 at its relaxed geometry at the PBE level of DFT.

Output
space-group type	No. 166
size of the total moment	0.002	μB/cell
formation enthalpy at 0 K	-75	meV/atom
DFT total energy	-3.989	eV/atom
mass density	6.45	g/cm³

```
Ac2DyGa12Co3
1.0
8.1754 -0.2416 -0.1714
3.8273 7.2282 -0.1714
3.8273 2.2278 6.8785
Ga Ac Dy Co
12 2 1 3
Direct
0.7234 0.7234 0.0809
0.4492 0.8491 0.8491
0.8491 0.4492 0.8491
0.5508 0.1509 0.1509
0.8491 0.8491 0.4492
0.9191 0.2766 0.2766
0.7234 0.0809 0.7234
0.1509 0.5508 0.1509
0.0809 0.7234 0.7234
0.1509 0.1509 0.5508
0.2766 0.9191 0.2766
0.2766 0.2766 0.9191
0.4095 0.4095 0.4095
0.5905 0.5905 0.5905
0.0000 0.0000 0.0000
0.0000 0.5000 0.0000
0.5000 0.0000 0.0000
0.0000 0.0000 0.5000
```

---

Record 6
Computed, not measured: crystalline LiAcDyCo at its relaxed geometry at the PBE level of DFT.

Output
space-group type	No. 216
size of the total moment	0.000	μB/cell
formation enthalpy at 0 K	78	meV/atom
DFT total energy	-4.354	eV/atom
mass density	8.03	g/cm³

```
LiAcDyCo
1.0
5.1060 0.0000 0.0000
2.5530 4.4219 0.0000
2.5530 1.4740 4.1691
Dy Ac Co Li
1 1 1 1
Direct
0.7500 0.7500 0.7500
0.2500 0.2500 0.2500
0.5000 0.5000 0.5000
0.0000 0.0000 0.0000
```